# 1
# ScMo5

Crystalline ScMo5 at its relaxed geometry (PBE, Alexandria).

Values from the calculation:
D(E_F) = 4.31 states/eV/f.u.
Formation enthalpy at 0 K = 0.025 eV/atom

Cell: 3.1780 13.5674 4.5664 Å, 90.00 90.00 90.00°
Closest atoms and distances in Å follow each position.
Space group Cmmm (No. 65)
Asymmetric unit:
Sc (0.0000, 0.0000, 0.0000) x2  8 Mo 2.78-2.85
Mo (0.0000, 0.1646, 0.5000) x4  8 Mo 2.74-2.81
Mo (0.0000, 0.3259, 0.0000) x4  6 Mo 2.60-2.78, 2 Sc 2.85
Mo (0.0000, 0.5000, 0.5000) x2  4 Mo 2.74, 4 Sc 2.78

---

# 2
# MgPdS

Crystalline MgPdS at its relaxed geometry (PBE, Alexandria).

Values from the calculation:
Raw formation energy = -672 meV/atom
D(E_F) = 0.00 states/eV/f.u.

Cell: 4.4737 5.0134 5.1428 Å, 91.07 90.52 104.78°
Closest atoms and distances in Å follow each position.
Space group P1 (No. 1)
Asymmetric unit:
Mg (0.0000, 0.0000, 0.0000) x1  3 S 2.51-2.66, 1 Pd 2.74
Mg (0.0912, 0.5138, 0.5179) x1  4 S 2.53-2.65, 1 Pd 2.73
Pd (0.5641, 0.3631, 0.2196) x1  2 S 2.42-2.44
Pd (0.7364, 0.9263, 0.4808) x1  2 S 2.33-2.35
S (0.0585, 0.5148, 0.0079) x1  1 Pd 2.42, 4 Mg 2.51-2.63
S (0.2749, 0.0530, 0.5416) x1  3 Pd 2.33-2.44

---

# 3
# Nb3CdH

Crystalline Nb3CdH at its relaxed geometry (PBE, Alexandria).

Values from the calculation:
D(E_F) = 5.21 states/eV/f.u.
Total DFT energy (no corrections) = -34.3 eV/cell

Cell: 4.2452 4.2452 4.2452 Å, 90.00 90.00 90.00°
Closest atoms and distances in Å follow each position.
Space group Pm-3m (No. 221)
Asymmetric unit:
Nb (0.0000, 0.0000, 0.5000) x3  2 H 2.12
Cd (0.5000, 0.5000, 0.5000) x1  12 Nb 3.00
H (0.0000, 0.0000, 0.0000) x1  6 Nb 2.12

---

# 4
# CaHf2Pb

Crystalline CaHf2Pb at its relaxed geometry (PBE, Alexandria).

Values from the calculation:
D(E_F) = 7.13 states/eV/f.u.
Formation enthalpy at 0 K = 0.598 eV/atom

Cell: 8.5492 8.5492 6.0521 Å, 90.00 90.00 90.00°
Closest atoms and distances in Å follow each position.
Space group I-42d (No. 122)
Asymmetric unit:
Ca (0.0000, 0.0000, 0.0000) x4  2 Pb 3.03, 4 Hf 3.29
Hf (0.2217, 0.2500, 0.6250) x8  2 Pb 2.96, 2 Hf 3.06, 2 Ca 3.29
Pb (0.0000, 0.0000, 0.5000) x4  4 Hf 2.96, 2 Ca 3.03

---

# 5
# TaAl6V4

Crystalline TaAl6V4 at its relaxed geometry (PBE, Alexandria).

Values from the calculation:
D(E_F) = 10.46 states/eV/f.u.
Formation enthalpy at 0 K = 0.315 eV/atom

Cell: 6.5481 6.5481 9.2173 Å, 90.00 90.00 90.00°
Closest atoms and distances in Å follow each position.
Space group I-42m (No. 121)
Asymmetric unit:
Ta (0.0000, 0.0000, 0.0000) x2  8 Al 2.95-3.27, 4 V 3.23
Al (0.0000, 0.5000, 0.0000) x4  4 V 2.53
Al (0.1710, 0.1710, 0.2700) x8  4 V 2.54-2.68
V (0.1560, 0.1560, 0.5560) x8  2 V 2.29, 3 Al 2.53-2.54

---

# 6
# PmSmCoNi

Crystalline PmSmCoNi at its relaxed geometry (PBE, Alexandria).

Values from the calculation:
D(E_F) = 3.29 states/eV/f.u.
Formation enthalpy at 0 K = -0.129 eV/atom

Cell: 6.8709 6.8709 6.8709 Å, 90.00 90.00 90.00°
Closest atoms and distances in Å follow each position.
Space group F-43m (No. 216)
Asymmetric unit:
Pm (0.0000, 0.0000, 0.0000) x4  4 Co 2.98, 4 Ni 2.98
Sm (0.0000, 0.0000, 0.5000) x4  4 Co 2.98, 4 Ni 2.98
Co (0.2500, 0.2500, 0.7500) x4  4 Pm 2.98, 4 Sm 2.98
Ni (0.2500, 0.2500, 0.2500) x4  4 Pm 2.98, 4 Sm 2.98